A plane-wave DFT calculation with PBE+U was carried out for an optimized crystal structure of CuNiAuO4.

a = 6.303 Å, b = 6.110 Å, c = 5.963 Å
α = 119.20°, β = 90.00°, γ = 121.05°
Each line ends with the local moment (μB).
Fractional positions:
Cu 0.108 0.216 0.858  -0.10
O 0.748 0.497 0.740  0.04
Au 0.000 0.500 0.500  0.02
O 0.263 0.979 0.739  0.03
O 0.737 0.021 0.261  0.03
O 0.252 0.503 0.743  0.04
O 0.748 0.497 0.257  0.04
O 0.285 0.021 0.261  0.03
Au 0.500 0.500 0.500  0.02
O 0.252 0.503 0.260  0.04
Cu 0.892 0.784 0.142  -0.10
Ni 0.500 0.000 0.500  1.73
O 0.715 0.979 0.739  0.03
Ni 0.500 0.000 0.000  1.73

Results
Space group: Imma, No. 74
M_tot, μB per atom: 0.259
D(E_F), states/eV per cell: 7.220
Electronic total energy, eV per cell: -65.0